*a*
The following is a GGA-PBE calculation of an optimized crystal structure of PmHoCu2, from Alexandria via LeMat-Bulk.

a = 4.967 Å, b = 4.967 Å, c = 4.967 Å
α = 60.00°, β = 60.00°, γ = 60.00°
Positions (direct):
Pm1 0.000 0.000 0.000
Ho1 0.500 0.500 0.500
Cu1 0.250 0.250 0.250
Cu2 0.750 0.750 0.750

Calculated values
SG: Fm-3m (225)

---

*b*
The following is a GGA-PBE calculation of an optimized crystal structure of PmHoCu2, from Alexandria via LeMat-Bulk.

a = 3.808 Å, b = 4.494 Å, c = 5.524 Å
α = 90.00°, β = 109.60°, γ = 90.00°
Positions (direct):
Pm1 0.000 0.000 0.000
Ho1 0.281 0.500 0.565
Cu1 0.576 0.500 0.151
Cu2 0.710 0.000 0.427

Calculated values
SG: Pm (6)

---

*c*
The following is a GGA-PBE calculation of an optimized crystal structure of PmHoCu2, from Alexandria via LeMat-Bulk.

a = 3.492 Å, b = 3.492 Å, c = 7.065 Å
α = 90.00°, β = 90.00°, γ = 90.00°
Positions (direct):
Pm1 0.000 0.000 0.000
Ho1 0.000 0.000 0.500
Cu1 0.500 0.500 0.269
Cu2 0.500 0.500 0.731

Calculated values
SG: P4/mmm (123)

---

Last place for stability: *a*

---

*a*
The following is a GGA-PBE calculation of an optimized crystal structure of Pm2HoCu2, from Alexandria via LeMat-Bulk.

a = 5.536 Å, b = 4.447 Å, c = 10.660 Å
α = 90.00°, β = 96.22°, γ = 90.00°
Positions (direct):
Pm1 0.103 0.250 0.378
Pm2 0.253 0.250 0.047
Pm3 0.747 0.750 0.953
Pm4 0.897 0.750 0.622
Ho1 0.404 0.250 0.711
Ho2 0.596 0.750 0.289
Cu1 0.234 0.750 0.855
Cu2 0.386 0.750 0.526
Cu3 0.614 0.250 0.474
Cu4 0.766 0.250 0.145

Calculated values
SG: P2_1/m (11)

---

*b*
The following is a GGA-PBE calculation of an optimized crystal structure of Pm2HoCu2, from Alexandria via LeMat-Bulk.

a = 7.207 Å, b = 7.207 Å, c = 4.750 Å
α = 90.00°, β = 90.00°, γ = 90.00°
Positions (direct):
Pm1 0.171 0.329 0.000
Pm2 0.329 0.829 0.000
Pm3 0.671 0.171 0.000
Pm4 0.829 0.671 0.000
Ho1 0.000 0.000 0.500
Ho2 0.500 0.500 0.500
Cu1 0.122 0.622 0.500
Cu2 0.378 0.122 0.500
Cu3 0.622 0.878 0.500
Cu4 0.878 0.378 0.500

Calculated values
SG: P4/mbm (127)

---

Last place for stability: *a*

---

*a*
The following is a GGA-PBE calculation of an optimized crystal structure of PmHoCuRu, from Alexandria via LeMat-Bulk.

a = 4.462 Å, b = 5.580 Å, c = 5.580 Å
α = 38.75°, β = 90.00°, γ = 90.00°
Positions (direct):
Pm1 0.000 0.000 0.000
Ho1 0.500 0.717 0.717
Cu1 0.500 0.427 0.427
Ru1 0.000 0.276 0.276

Calculated values
SG: Amm2 (38)

---

*b*
The following is a GGA-PBE calculation of an optimized crystal structure of PmHoCuRu, from Alexandria via LeMat-Bulk.

a = 4.909 Å, b = 4.909 Å, c = 4.909 Å
α = 60.00°, β = 60.00°, γ = 60.00°
Positions (direct):
Pm1 0.000 0.000 0.000
Ho1 0.500 0.500 0.500
Cu1 0.250 0.250 0.250
Ru1 0.750 0.750 0.750

Calculated values
SG: F-43m (216)

---

Last place for stability: *a*

---

*a*
The following is a GGA-PBE calculation of an optimized crystal structure of PmHoCuSi, from Alexandria via LeMat-Bulk.

a = 4.992 Å, b = 4.992 Å, c = 4.992 Å
α = 60.00°, β = 60.00°, γ = 60.00°
Positions (direct):
Pm1 0.000 0.000 0.000
Ho1 0.500 0.500 0.500
Cu1 0.750 0.750 0.750
Si1 0.250 0.250 0.250

Calculated values
SG: F-43m (216)

---

*b*
The following is a GGA-PBE calculation of an optimized crystal structure of PmHoCuSi, from Alexandria via LeMat-Bulk.

a = 4.089 Å, b = 5.842 Å, c = 5.842 Å
α = 40.93°, β = 90.00°, γ = 90.00°
Positions (direct):
Pm1 0.000 0.000 0.000
Ho1 0.500 0.280 0.280
Cu1 0.500 0.583 0.583
Si1 0.000 0.717 0.717

Calculated values
SG: Amm2 (38)

---

Last place for stability: *a*

---

*a*
The following is a GGA-PBE calculation of an optimized crystal structure of PrHo2Cu, from Alexandria via LeMat-Bulk.

a = 10.113 Å, b = 10.113 Å, c = 10.113 Å
α = 20.77°, β = 20.77°, γ = 20.77°
Positions (direct):
Pr1 0.000 0.000 0.000
Ho1 0.232 0.232 0.232
Ho2 0.768 0.768 0.768
Cu1 0.500 0.500 0.500

Calculated values
SG: R-3m (166)

---

*b*
The following is a GGA-PBE calculation of an optimized crystal structure of PrHo2Cu, from Alexandria via LeMat-Bulk.

a = 3.521 Å, b = 3.521 Å, c = 8.722 Å
α = 90.00°, β = 90.00°, γ = 90.00°
Positions (direct):
Pr1 0.000 0.000 0.000
Ho1 0.500 0.500 0.310
Ho2 0.500 0.500 0.690
Cu1 0.000 0.000 0.500

Calculated values
SG: P4/mmm (123)

---

Last place for stability: *a*

---

*a*
The following is a GGA-PBE calculation of an optimized crystal structure of PrHoCu2, from Alexandria via LeMat-Bulk.

a = 5.008 Å, b = 5.008 Å, c = 5.008 Å
α = 60.00°, β = 60.00°, γ = 60.00°
Positions (direct):
Pr1 0.000 0.000 0.000
Ho1 0.500 0.500 0.500
Cu1 0.250 0.250 0.250
Cu2 0.750 0.750 0.750

Calculated values
SG: Fm-3m (225)

---

*b*
The following is a GGA-PBE calculation of an optimized crystal structure of PrHoCu2, from Alexandria via LeMat-Bulk.

a = 3.849 Å, b = 4.509 Å, c = 5.579 Å
α = 90.00°, β = 109.65°, γ = 90.00°
Positions (direct):
Pr1 0.000 0.000 0.000
Ho1 0.282 0.500 0.566
Cu1 0.580 0.500 0.158
Cu2 0.711 0.000 0.428

Calculated values
SG: Pm (6)

---

Last place for stability: *a*

---

*a*
The following is a GGA-PBE calculation of an optimized crystal structure of PrHoCu, from Alexandria via LeMat-Bulk.

a = 6.757 Å, b = 6.757 Å, c = 6.757 Å
α = 149.62°, β = 149.62°, γ = 43.50°
Positions (direct):
Pr1 0.000 0.000 0.000
Ho1 0.279 0.279 0.000
Cu1 0.659 0.659 0.000

Calculated values
SG: I4mm (107)

---

*b*
The following is a GGA-PBE calculation of an optimized crystal structure of PrHoCu, from Alexandria via LeMat-Bulk.

a = 4.928 Å, b = 4.928 Å, c = 4.928 Å
α = 60.00°, β = 60.00°, γ = 60.00°
Positions (direct):
Pr1 0.000 0.000 0.000
Ho1 0.500 0.500 0.500
Cu1 0.250 0.250 0.250

Calculated values
SG: F-43m (216)

---

*c*
The following is a GGA-PBE calculation of an optimized crystal structure of PrHoCu, from Alexandria via LeMat-Bulk.

a = 4.782 Å, b = 4.782 Å, c = 7.033 Å
α = 90.01°, β = 90.01°, γ = 90.00°
Positions (direct):
Pr1 0.250 0.250 0.112
Pr2 0.750 0.750 0.888
Ho1 0.250 0.750 0.500
Ho2 0.750 0.250 0.500
Cu1 0.250 0.251 0.716
Cu2 0.749 0.750 0.284

Calculated values
SG: C2 (5)

---

Last place for stability: *b*

---

*a*
The following is a GGA-PBE calculation of an optimized crystal structure of HoCuPtRh, from Alexandria via LeMat-Bulk.

a = 4.570 Å, b = 4.570 Å, c = 4.570 Å
α = 60.00°, β = 60.00°, γ = 60.00°
Positions (direct):
Ho1 0.000 0.000 0.000
Cu1 0.500 0.500 0.500
Pt1 0.750 0.750 0.750
Rh1 0.250 0.250 0.250

Calculated values
SG: F-43m (216)

---

*b*
The following is a GGA-PBE calculation of an optimized crystal structure of HoCuPtRh, from Alexandria via LeMat-Bulk.

a = 3.864 Å, b = 4.061 Å, c = 4.203 Å
α = 90.00°, β = 90.00°, γ = 90.00°
Positions (direct):
Ho1 0.000 0.000 0.000
Cu1 0.000 0.500 0.500
Pt1 0.500 0.000 0.500
Rh1 0.500 0.500 0.000

Calculated values
SG: Pmmm (47)

---

Last place for stability: *a*

---

*a*
The following is a GGA-PBE calculation of an optimized crystal structure of SmHoCuPt, from Alexandria via LeMat-Bulk.

a = 4.441 Å, b = 5.659 Å, c = 5.659 Å
α = 39.37°, β = 90.00°, γ = 90.00°
Positions (direct):
Sm1 0.000 0.000 0.000
Ho1 0.500 0.723 0.723
Cu1 0.500 0.436 0.436
Pt1 0.000 0.280 0.280

Calculated values
SG: Amm2 (38)

---

*b*
The following is a GGA-PBE calculation of an optimized crystal structure of SmHoCuPt, from Alexandria via LeMat-Bulk.

a = 4.969 Å, b = 4.969 Å, c = 4.969 Å
α = 60.00°, β = 60.00°, γ = 60.00°
Positions (direct):
Sm1 0.000 0.000 0.000
Ho1 0.500 0.500 0.500
Cu1 0.250 0.250 0.250
Pt1 0.750 0.750 0.750

Calculated values
SG: F-43m (216)

---

Last place for stability: *b*

---

*a*
The following is a GGA-PBE calculation of an optimized crystal structure of YHoCuPt, from Alexandria via LeMat-Bulk.

a = 4.435 Å, b = 5.577 Å, c = 5.577 Å
α = 39.53°, β = 90.00°, γ = 90.00°
Positions (direct):
Y1 0.000 0.000 0.000
Ho1 0.500 0.278 0.278
Cu1 0.500 0.561 0.561
Pt1 0.000 0.718 0.718

Calculated values
SG: Amm2 (38)

---

*b*
The following is a GGA-PBE calculation of an optimized crystal structure of YHoCuPt, from Alexandria via LeMat-Bulk.

a = 4.920 Å, b = 4.920 Å, c = 4.920 Å
α = 60.00°, β = 60.00°, γ = 60.00°
Positions (direct):
Y1 0.000 0.000 0.000
Ho1 0.500 0.500 0.500
Cu1 0.250 0.250 0.250
Pt1 0.750 0.750 0.750

Calculated values
SG: F-43m (216)

---

Last place for stability: *b*

---

*a*
The following is a GGA-PBE calculation of an optimized crystal structure of Ho2PuCu, from Alexandria via LeMat-Bulk.

a = 3.436 Å, b = 3.436 Å, c = 8.479 Å
α = 90.00°, β = 90.00°, γ = 90.00°
Positions (direct):
Ho1 0.000 0.000 0.203
Ho2 0.000 0.000 0.797
Pu1 0.500 0.500 0.500
Cu1 0.500 0.500 0.000

Calculated values
SG: P4/mmm (123)

---

*b*
The following is a GGA-PBE calculation of an optimized crystal structure of Ho2PuCu, from Alexandria via LeMat-Bulk.

a = 10.945 Å, b = 10.945 Å, c = 10.945 Å
α = 17.90°, β = 17.90°, γ = 17.90°
Positions (direct):
Ho1 0.102 0.102 0.102
Ho2 0.898 0.898 0.898
Pu1 0.000 0.000 0.000
Cu1 0.500 0.500 0.500

Calculated values
SG: R-3m (166)

---

Last place for stability: *b*

---

*a*
The following is a GGA-PBE calculation of an optimized crystal structure of Ho8Cu2Rh, from Alexandria via LeMat-Bulk.

a = 8.948 Å, b = 8.948 Å, c = 6.634 Å
α = 105.67°, β = 105.67°, γ = 32.92°
Positions (direct):
Ho1 0.033 0.033 0.289
Ho2 0.200 0.200 0.825
Ho3 0.333 0.333 0.521
Ho4 0.410 0.410 0.056
Ho5 0.590 0.590 0.944
Ho6 0.667 0.667 0.479
Ho7 0.800 0.800 0.175
Ho8 0.967 0.967 0.711
Cu1 0.185 0.185 0.225
Cu2 0.815 0.815 0.775
Rh1 0.500 0.500 0.500

Calculated values
SG: C2/m (12)

---

*b*
The following is a GGA-PBE calculation of an optimized crystal structure of Ho8Cu2Rh, from Alexandria via LeMat-Bulk.

a = 7.718 Å, b = 7.718 Å, c = 5.821 Å
α = 100.95°, β = 100.95°, γ = 115.97°
Positions (direct):
Ho1 0.000 0.000 0.000
Ho2 0.022 0.272 0.567
Ho3 0.159 0.568 0.186
Ho4 0.272 0.022 0.567
Ho5 0.452 0.703 0.790
Ho6 0.568 0.159 0.186
Ho7 0.703 0.452 0.790
Ho8 0.727 0.727 0.377
Cu1 0.063 0.669 0.690
Cu2 0.669 0.063 0.690
Rh1 0.365 0.365 0.326

Calculated values
SG: Cm (8)

---

Last place for stability: *b*